[1]
First-principles (PBE) data for a geometry-optimized RbGa2Pd2 structure, as listed in Alexandria via LeMat-Bulk.

Calculated values
Total magnetization in μB per cell: 0.00
ΔE_f in eV/atom: -0.3567

a = 4.234 Å, b = 4.234 Å, c = 7.157 Å
α = 72.80°, β = 72.80°, γ = 90.00°
Atoms (fractional coordinates):
Pd (0.750, 0.250, 0.500)
Rb (0.000, 0.000, 0.000)
Pd (0.250, 0.750, 0.500)
Ga (0.643, 0.643, 0.714)
Ga (0.357, 0.357, 0.286)

[2]
First-principles (PBE) data for a geometry-optimized Sr2Mg5In2Sn3 structure, as listed in Alexandria via LeMat-Bulk.

Calculated values
Total magnetization in μB per cell: 0.00
ΔE_f in eV/atom: -0.1038

a = 4.560 Å, b = 4.560 Å, c = 18.179 Å
α = 97.21°, β = 97.21°, γ = 90.00°
Atoms (fractional coordinates):
Mg (0.367, 0.867, 0.734)
Sn (0.186, 0.186, 0.373)
Sr (0.713, 0.713, 0.426)
Sr (0.287, 0.287, 0.574)
Sn (0.814, 0.814, 0.627)
Mg (0.500, 0.500, 0.000)
Mg (0.633, 0.133, 0.266)
In (0.423, 0.423, 0.845)
Mg (0.867, 0.367, 0.734)
In (0.577, 0.577, 0.155)
Sn (0.000, 0.000, 0.000)
Mg (0.133, 0.633, 0.266)